1.
VASP calculation (PBE-GGA) on a geometry-optimized K2CdFe2 structure.

Cell lengths 6.5518, 6.5518, 7.5581 Å; angles 90.00, 90.00, 90.00 degrees
With the nearest neighbours (Å) after each atom.
Space group I4/mmm (No. 139)
Unique sites:
1 K 0.0000 0.5000 0.2500 x4  4 Fe 3.38, 2 K 3.78, 4 Cd 3.78
2 Cd 0.0000 0.0000 0.0000 x2  2 Fe 2.74
3 Fe 0.0000 0.0000 0.3623 x4  1 Fe 2.08

Results
Total magnetic moment (μB/cell): 11.295
Volume (Å³/f.u.): 162.2
ΔE to the lowest computed polymorph (kJ per mole of atoms): 0.00

=====

2.
VASP calculation (PBE-GGA) on a geometry-optimized KCd2Fe structure.

Cell lengths 2.9827, 3.9026, 8.2510 Å; angles 90.00, 90.00, 90.00 degrees
With the nearest neighbours (Å) after each atom.
Space group Pmmm (No. 47)
Unique sites:
1 K 0.0000 0.0000 0.0000 x1  2 K 2.98
2 Cd 0.5000 0.5000 0.3222 x2  4 Fe 2.86, 3 Cd 2.93-2.98
3 Fe 0.0000 0.0000 0.5000 x1  8 Cd 2.86, 2 Fe 2.98

Results
Total magnetic moment (μB/cell): 2.697
Volume (Å³/f.u.): 96.0
ΔE to the lowest computed polymorph (kJ per mole of atoms): 0.00

=====

3.
VASP calculation (PBE-GGA) on a geometry-optimized KCd2Fe structure.

Cell lengths 5.5007, 5.5007, 3.0258 Å; angles 90.00, 90.00, 90.00 degrees
With the nearest neighbours (Å) after each atom.
Space group P4/mmm (No. 123)
Unique sites:
1 K 0.0000 0.0000 0.0000 x1  2 K 3.03, 8 Cd 3.14
2 Cd 0.0000 0.5000 0.5000 x2  2 Cd 3.03, 4 Fe 3.14, 4 K 3.14
3 Fe 0.5000 0.5000 0.0000 x1  2 Fe 3.03, 8 Cd 3.14

Results
Total magnetic moment (μB/cell): 2.480
Volume (Å³/f.u.): 91.6
ΔE to the lowest computed polymorph (kJ per mole of atoms): 25.34

=====

What is the ΔE to the lowest computed polymorph in the second record? 0.00 kJ per mole of atoms